# MgNiSb2

A relaxed MgNiSb2 crystal (GGA-PBE, Alexandria via LeMat-Bulk).

Summary:
Magnetization: 0.00 μB/atom
ΔE_f (raw): -51 kJ/mol of formula units
Energy: -4.0374 eV/atom

Cell: 8.6546 8.6546 4.9333 Å, 90.00 90.00 90.00°
Space group I-42d (No. 122)
One atom of each set of equivalent atoms:
Mg1 0.0000 0.0000 0.0000 x4
Ni1 0.0000 0.0000 0.5000 x4
Sb1 0.1377 0.7500 0.6250 x8